[1]
Compound: Sc2AlSi2Rh5
Source: Alexandria via LeMat-Bulk
Functional: PBE-GGA
Structure: optimized geometry

space-group type	P4/mbm (127)
E_form (uncorrected)	-1.014	eV per atom
V	152	Å³/f.u.

abc: 3.4016 9.4681 9.4681
angles: 90.00 90.00 90.00
With the nearest neighbours (Å) after each atom.
Element x y z (fractional)
Rh 0.5000 0.7070 0.4300  2 Si 2.38
Rh 0.5000 0.9300 0.2070  2 Si 2.38
Rh 0.5000 0.0700 0.7930  2 Si 2.38
Rh 0.5000 0.2930 0.5700  2 Si 2.38
Rh 0.5000 0.5700 0.7070  2 Si 2.38
Rh 0.5000 0.4300 0.2930  2 Si 2.38
Rh 0.5000 0.7930 0.9300  2 Si 2.38
Rh 0.5000 0.5000 0.0000  4 Si 2.40
Rh 0.5000 0.2070 0.0700  2 Si 2.38
Rh 0.5000 0.0000 0.5000  4 Si 2.40
Si 0.0000 0.1266 0.6266  6 Rh 2.38-2.40
Si 0.0000 0.3734 0.1266  6 Rh 2.38-2.40
Si 0.0000 0.6266 0.8734  6 Rh 2.38-2.40
Si 0.0000 0.8734 0.3734  6 Rh 2.38-2.40
Al 0.0000 0.0000 0.0000  8 Rh 2.68
Al 0.0000 0.5000 0.5000  8 Rh 2.68
Sc 0.0000 0.1729 0.3271  3 Si 2.68-2.87, 6 Rh 2.87-2.99
Sc 0.0000 0.3271 0.8271  3 Si 2.68-2.87, 6 Rh 2.87-2.99
Sc 0.0000 0.6729 0.1729  3 Si 2.68-2.87, 6 Rh 2.87-2.99
Sc 0.0000 0.8271 0.6729  3 Si 2.68-2.87, 6 Rh 2.87-2.99

---

[2]
Compound: TbSc2AlRh4
Source: Alexandria via LeMat-Bulk
Functional: PBE-GGA
Structure: optimized geometry

space-group type	R-3m (166)
V	135	Å³/f.u.
formation energy	-0.959	eV/atom

abc: 4.5572 4.5572 7.9645
angles: 73.38 73.38 60.00
With the nearest neighbours (Å) after each atom.
Element x y z (fractional)
Rh 0.6181 0.6181 0.1457  1 Al 2.66, 3 Sc 2.79, 3 Tb 2.85
Rh 0.1280 0.1280 0.6159  4 Sc 2.60-2.77, 3 Al 2.77, 1 Tb 2.89
Rh 0.8720 0.8720 0.3841  4 Sc 2.60-2.77, 3 Al 2.77, 1 Tb 2.89
Rh 0.3819 0.3819 0.8543  1 Al 2.66, 3 Sc 2.79, 3 Tb 2.85
Tb 0.0000 0.0000 0.0000  8 Rh 2.85-2.89
Sc 0.2432 0.2432 0.2703  7 Rh 2.60-2.79
Sc 0.7568 0.7568 0.7297  7 Rh 2.60-2.79
Al 0.5000 0.5000 0.5000  8 Rh 2.66-2.77

---

[3]
Compound: ScAlTe2Rh
Source: Alexandria via LeMat-Bulk
Functional: PBE-GGA
Structure: optimized geometry

space-group type	P4/mmm (123)
E_form (uncorrected)	0.696	eV per atom
V	132	Å³/f.u.

abc: 5.1445 5.0015 5.1445
angles: 90.00 90.00 90.00
With the nearest neighbours (Å) after each atom.
Element x y z (fractional)
Rh 0.5000 0.5000 0.5000  8 Te 3.59, 4 Sc 3.64
Te 0.5000 0.0000 0.0000  2 Al 2.57
Te 0.0000 0.0000 0.5000  2 Al 2.57
Sc 0.0000 0.5000 0.0000  2 Al 2.50
Al 0.0000 0.0000 0.0000  2 Sc 2.50, 4 Te 2.57

---

[4]
Compound: TmSc2AlRh4
Source: Alexandria via LeMat-Bulk
Functional: PBE-GGA
Structure: optimized geometry

space-group type	R-3m (166)
V	133	Å³/f.u.
formation energy	-1.010	eV/atom

abc: 4.5367 4.5367 7.8938
angles: 73.30 73.30 60.00
With the nearest neighbours (Å) after each atom.
Element x y z (fractional)
Sc 0.7554 0.7554 0.7337  7 Rh 2.61-2.78
Sc 0.2446 0.2446 0.2663  7 Rh 2.61-2.78
Rh 0.6202 0.6202 0.1395  1 Al 2.68, 3 Sc 2.78, 3 Tm 2.82
Rh 0.8725 0.8725 0.3825  4 Sc 2.61-2.76, 3 Al 2.76, 1 Tm 2.85
Rh 0.3798 0.3798 0.8605  1 Al 2.68, 3 Sc 2.78, 3 Tm 2.82
Rh 0.1275 0.1275 0.6175  4 Sc 2.61-2.76, 3 Al 2.76, 1 Tm 2.85
Al 0.5000 0.5000 0.5000  8 Rh 2.68-2.76
Tm 0.0000 0.0000 0.0000  8 Rh 2.82-2.85

---

[5]
Compound: TmScAlRh
Source: Alexandria via LeMat-Bulk
Functional: PBE-GGA
Structure: optimized geometry

space-group type	F-43m (216)
V	79	Å³/f.u.
formation energy	-0.626	eV/atom

abc: 4.8098 4.8098 4.8098
angles: 60.00 60.00 60.00
With the nearest neighbours (Å) after each atom.
Element x y z (fractional)
Al 0.7500 0.7500 0.7500  4 Tm 2.95, 4 Sc 2.95
Rh 0.2500 0.2500 0.2500  4 Sc 2.95, 4 Tm 2.95
Sc 0.0000 0.0000 0.0000  4 Rh 2.95, 4 Al 2.95
Tm 0.5000 0.5000 0.5000  4 Al 2.95, 4 Rh 2.95

---

[6]
Compound: Zr2ScAl2Rh5
Source: Alexandria via LeMat-Bulk
Functional: PBE-GGA
Structure: optimized geometry

space-group type	P4/mbm (127)
V	164	Å³/f.u.
formation energy	-0.843	eV/atom

abc: 3.5502 9.6256 9.6256
angles: 90.00 90.00 90.00
With the nearest neighbours (Å) after each atom.
Element x y z (fractional)
Rh 0.5000 0.5000 0.0000  4 Al 2.45
Rh 0.5000 0.5709 0.7088  2 Al 2.45
Rh 0.5000 0.0000 0.5000  4 Al 2.45
Rh 0.5000 0.2088 0.0709  2 Al 2.45
Rh 0.5000 0.7912 0.9291  2 Al 2.45
Rh 0.5000 0.9291 0.2088  2 Al 2.45
Rh 0.5000 0.7088 0.4291  2 Al 2.45
Rh 0.5000 0.4291 0.2912  2 Al 2.45
Rh 0.5000 0.2912 0.5709  2 Al 2.45
Rh 0.5000 0.0709 0.7912  2 Al 2.45
Zr 0.0000 0.6745 0.1745  3 Al 2.74-2.92, 6 Rh 2.97-3.04
Zr 0.0000 0.8255 0.6745  3 Al 2.74-2.92, 6 Rh 2.97-3.04
Zr 0.0000 0.1745 0.3255  3 Al 2.74-2.92, 6 Rh 2.97-3.04
Zr 0.0000 0.3255 0.8255  3 Al 2.74-2.92, 6 Rh 2.97-3.04
Al 0.0000 0.6243 0.8757  6 Rh 2.45, 1 Zr 2.74
Al 0.0000 0.8757 0.3757  6 Rh 2.45, 1 Zr 2.74
Al 0.0000 0.3757 0.1243  6 Rh 2.45, 1 Zr 2.74
Al 0.0000 0.1243 0.6243  6 Rh 2.45, 1 Zr 2.74
Sc 0.0000 0.0000 0.0000  8 Rh 2.77
Sc 0.0000 0.5000 0.5000  8 Rh 2.77

---

[7]
Compound: AlRhSe4
Source: Alexandria via LeMat-Bulk
Functional: PBE-GGA
Structure: optimized geometry

space-group type	F-43m (216)
E_form (uncorrected)	0.781	eV per atom
V	124	Å³/f.u.

abc: 5.5963 5.5963 5.5963
angles: 60.00 60.00 60.00
With the nearest neighbours (Å) after each atom.
Element x y z (fractional)
Se 0.3741 0.3741 0.8778  6 Se 2.78-2.82
Se 0.8778 0.3741 0.3741  6 Se 2.78-2.82
Se 0.3741 0.8778 0.3741  6 Se 2.78-2.82
Se 0.3741 0.3741 0.3741  6 Se 2.78-2.82
Al 0.7500 0.7500 0.7500  12 Se 3.28, 4 Rh 3.43
Rh 0.0000 0.0000 0.0000  12 Se 3.28, 4 Al 3.43

---

[8]
Compound: AlRhSe2
Source: Alexandria via LeMat-Bulk
Functional: PBE-GGA
Structure: optimized geometry

space-group type	Imm2 (44)
E_form (uncorrected)	-0.064	eV per atom
V	71	Å³/f.u.

abc: 5.6401 5.6401 5.6401
angles: 150.28 126.02 62.84
With the nearest neighbours (Å) after each atom.
Element x y z (fractional)
Se 0.0386 0.0386 0.0000  2 Rh 2.53
Se 0.7285 0.2285 0.5000  2 Al 2.80, 2 Se 2.89, 4 Rh 2.95
Al 0.4792 0.4792 0.0000  2 Rh 2.61, 2 Se 2.80, 2 Al 2.89
Rh 0.2537 0.7537 0.5000  2 Se 2.53, 2 Al 2.61

---

[9]
Compound: AlRh2Se
Source: Alexandria via LeMat-Bulk
Functional: PBE-GGA
Structure: optimized geometry

space-group type	Cm (8)
E_form (uncorrected)	-0.415	eV per atom
V	60	Å³/f.u.
energy relative to the lowest polymorph listed for this composition	0.146	eV per formula unit

abc: 4.8856 4.8856 4.2872
angles: 76.74 76.74 37.33
With the nearest neighbours (Å) after each atom.
Element x y z (fractional)
Se 0.4990 0.4990 0.4240  7 Rh 2.52-2.72
Al 0.7457 0.7457 0.8211  7 Rh 2.61-2.66
Rh 0.2424 0.2424 0.3210  3 Se 2.52-2.69, 4 Al 2.65-2.66
Rh 0.0128 0.0128 0.9339  4 Se 2.60-2.72, 3 Al 2.61-2.63

---

[10]
Compound: AlRhSe
Source: Alexandria via LeMat-Bulk
Functional: PBE-GGA
Structure: optimized geometry

space-group type	I4mm (107)
E_form (uncorrected)	-0.265	eV per atom
V	49	Å³/f.u.
energy relative to the lowest polymorph listed for this composition	0.532	eV per formula unit

abc: 5.7156 5.7156 3.0295
angles: 74.63 74.63 30.74
With the nearest neighbours (Å) after each atom.
Element x y z (fractional)
Rh 0.3477 0.3477 0.6523  4 Al 2.56, 4 Se 2.84
Al 0.9804 0.9804 0.0196  4 Rh 2.56
Se 0.6719 0.6719 0.3281  4 Rh 2.84, 4 Al 2.95, 4 Se 3.03

---

[11]
Compound: AlRh2Se
Source: Alexandria via LeMat-Bulk
Functional: PBE-GGA
Structure: optimized geometry

space-group type	F-43m (216)
E_form (uncorrected)	0.041	eV per atom
V	62	Å³/f.u.
energy relative to the lowest polymorph listed for this composition	1.972	eV per formula unit

abc: 4.4460 4.4460 4.4460
angles: 60.00 60.00 60.00
With the nearest neighbours (Å) after each atom.
Element x y z (fractional)
Se 0.2500 0.2500 0.2500  4 Al 2.72, 4 Rh 2.72
Rh 0.0000 0.0000 0.0000  4 Se 2.72, 4 Rh 2.72
Rh 0.7500 0.7500 0.7500  4 Al 2.72, 4 Rh 2.72
Al 0.5000 0.5000 0.5000  4 Se 2.72, 4 Rh 2.72

---

[12]
Compound: AlRh3Se
Source: Alexandria via LeMat-Bulk
Functional: PBE-GGA
Structure: optimized geometry

space-group type	Pm-3m (221)
E_form (uncorrected)	0.392	eV per atom
V	93	Å³/f.u.
energy relative to the lowest polymorph listed for this composition	0.000	eV per formula unit

abc: 4.5353 4.5353 4.5353
angles: 90.00 90.00 90.00
With the nearest neighbours (Å) after each atom.
Element x y z (fractional)
Rh 0.5000 0.0000 0.0000  2 Se 2.27
Rh 0.0000 0.0000 0.5000  2 Se 2.27
Rh 0.0000 0.5000 0.0000  2 Se 2.27
Al 0.5000 0.5000 0.5000  12 Rh 3.21
Se 0.0000 0.0000 0.0000  6 Rh 2.27